Record 1
# PBE-GGA PrTmPt2, optimized geometry
data_PrTmPt2
_cell_length_a 4.525
_cell_length_b 3.835
_cell_length_c 10.703
_cell_angle_alpha 90.00
_cell_angle_beta 90.00
_cell_angle_gamma 90.00
_space_group_name_H-M_alt 'A m m 2'
_space_group_IT_number 38
loop_
_space_group_symop_operation_xyz
'x,y,z'
'-x,-y,z'
'-x,y,z'
'x,-y,z'
'x,y+1/2,z+1/2'
'-x,-y+1/2,z+1/2'
'-x,y+1/2,z+1/2'
'x,-y+1/2,z+1/2'
loop_
_atom_site_label
_atom_site_type_symbol
_atom_site_fract_x
_atom_site_fract_y
_atom_site_fract_z
_atom_site_occupancy
Pr1 Pr 0.000 0.000 0.000 1
Tm1 Tm 0.500 0.000 0.725 1
Pt1 Pt 0.000 0.000 0.272 1
Pt2 Pt 0.500 0.000 0.446 1
# * E_form: -1.196 eV/atom
# * offset from the most stable computed form: 0 meV per atom
# * DOS(E_F): 2.510 states/eV/f.u.
# * VASP energy: -6.53 eV per atom


Record 2
# PBE-GGA Pr2TmPt2, optimized geometry
data_Pr2TmPt2
_cell_length_a 4.029
_cell_length_b 6.771
_cell_length_c 9.589
_cell_angle_alpha 90.00
_cell_angle_beta 90.00
_cell_angle_gamma 90.00
_space_group_name_H-M_alt 'I m m m'
_space_group_IT_number 71
_space_group_name_Hall '-I 2 2'
loop_
_atom_site_label
_atom_site_type_symbol
_atom_site_fract_x
_atom_site_fract_y
_atom_site_fract_z
_atom_site_occupancy
Pr1 Pr 0.000 0.000 0.194 1
Tm1 Tm 0.000 0.500 0.000 1
Pt1 Pt 0.000 0.287 0.500 1
# * E_form: -0.947 eV/atom
# * DOS(E_F): 4.054 states/eV/f.u.
# * VASP energy: -6.17 eV per atom


Record 3
# PBE-GGA Pr2TmPt, optimized geometry
data_Pr2TmPt
_cell_length_a 3.7988
_cell_length_b 3.7988
_cell_length_c 32.1491
_cell_angle_alpha 90.00
_cell_angle_beta 90.00
_cell_angle_gamma 120.00
_space_group_name_H-M_alt 'R -3 m'
_space_group_IT_number 166
_space_group_name_Hall '-R 3 2"'
loop_
_atom_site_label
_atom_site_type_symbol
_atom_site_fract_x
_atom_site_fract_y
_atom_site_fract_z
_atom_site_occupancy
Pr1 Pr 0.0000 0.0000 0.1078 1
Tm1 Tm 0.0000 0.0000 0.0000 1
Pt1 Pt 0.0000 0.0000 0.5000 1
# * E_form: -0.189 eV/atom
# * offset from the most stable computed form: 379 meV per atom
# * DOS(E_F): 4.978 states/eV/f.u.
# * VASP energy: -5.21 eV per atom


Record 4
# PBE-GGA PrTmPt2, optimized geometry
data_PrTmPt2
_cell_length_a 3.515
_cell_length_b 3.515
_cell_length_c 7.183
_cell_angle_alpha 90.00
_cell_angle_beta 90.00
_cell_angle_gamma 90.00
_space_group_name_H-M_alt 'P 4/m m m'
_space_group_IT_number 123
_space_group_name_Hall '-P 4 2'
loop_
_atom_site_label
_atom_site_type_symbol
_atom_site_fract_x
_atom_site_fract_y
_atom_site_fract_z
_atom_site_occupancy
Pr1 Pr 0.000 0.000 0.000 1
Tm1 Tm 0.000 0.000 0.500 1
Pt1 Pt 0.500 0.500 0.276 1
# * E_form: -1.138 eV/atom
# * offset from the most stable computed form: 59 meV per atom
# * DOS(E_F): 3.168 states/eV/f.u.
# * VASP energy: -6.47 eV per atom


Record 5
# PBE-GGA Pr2TmPt, optimized geometry
data_Pr2TmPt
_cell_length_a 3.736
_cell_length_b 3.736
_cell_length_c 8.264
_cell_angle_alpha 90.00
_cell_angle_beta 90.00
_cell_angle_gamma 90.00
_space_group_name_H-M_alt 'P 4/m m m'
_space_group_IT_number 123
_space_group_name_Hall '-P 4 2'
loop_
_atom_site_label
_atom_site_type_symbol
_atom_site_fract_x
_atom_site_fract_y
_atom_site_fract_z
_atom_site_occupancy
Pr1 Pr 0.000 0.000 0.205 1
Tm1 Tm 0.500 0.500 0.500 1
Pt1 Pt 0.500 0.500 0.000 1
# * E_form: -0.445 eV/atom
# * offset from the most stable computed form: 122 meV per atom
# * DOS(E_F): 6.006 states/eV/f.u.
# * VASP energy: -5.46 eV per atom


Record 6
# PBE-GGA PrTm3Pt2, optimized geometry
data_PrTm3Pt2
_cell_length_a 16.310
_cell_length_b 5.015
_cell_length_c 8.300
_cell_angle_alpha 90.00
_cell_angle_beta 114.05
_cell_angle_gamma 90.00
_space_group_name_H-M_alt 'C 1 2/m 1'
_space_group_IT_number 12
loop_
_space_group_symop_operation_xyz
'x,y,z'
'-x,-y,-z'
'-x,y,-z'
'x,-y,z'
'x+1/2,y+1/2,z'
'-x+1/2,-y+1/2,-z'
'-x+1/2,y+1/2,-z'
'x+1/2,-y+1/2,z'
loop_
_atom_site_label
_atom_site_type_symbol
_atom_site_fract_x
_atom_site_fract_y
_atom_site_fract_z
_atom_site_occupancy
Pr1 Pr 0.160 0.000 0.259 1
Tm1 Tm 0.058 0.000 0.753 1
Tm2 Tm 0.112 0.500 0.516 1
Tm3 Tm 0.189 0.500 0.991 1
Pt1 Pt 0.004 0.500 0.840 1
Pt2 Pt 0.202 0.000 0.648 1
# * E_form: -0.798 eV/atom
# * offset from the most stable computed form: 155 meV per atom
# * DOS(E_F): 5.076 states/eV/f.u.
# * VASP energy: -5.84 eV per atom


Record 7
# PBE-GGA PrTmPt2, optimized geometry
data_PrTmPt2
_cell_length_a 4.0727
_cell_length_b 4.0727
_cell_length_c 20.9580
_cell_angle_alpha 90.00
_cell_angle_beta 90.00
_cell_angle_gamma 120.00
_space_group_name_H-M_alt 'R 3 m'
_space_group_IT_number 160
_space_group_name_Hall 'R 3 -2"'
loop_
_atom_site_label
_atom_site_type_symbol
_atom_site_fract_x
_atom_site_fract_y
_atom_site_fract_z
_atom_site_occupancy
Pr1 Pr 0.0000 0.0000 0.0000 1
Tm1 Tm 0.0000 0.0000 0.1721 1
Pt1 Pt 0.0000 0.0000 0.5807 1
Pt2 Pt 0.0000 0.0000 0.7584 1
# * E_form: -1.027 eV/atom
# * offset from the most stable computed form: 169 meV per atom
# * DOS(E_F): 2.573 states/eV/f.u.
# * VASP energy: -6.36 eV per atom


Record 8
# PBE-GGA PrTmPt2, optimized geometry
data_PrTmPt2
_cell_length_a 7.099
_cell_length_b 7.099
_cell_length_c 7.099
_cell_angle_alpha 90.00
_cell_angle_beta 90.00
_cell_angle_gamma 90.00
_space_group_name_H-M_alt 'F m -3 m'
_space_group_IT_number 225
_space_group_name_Hall '-F 4 2 3'
loop_
_atom_site_label
_atom_site_type_symbol
_atom_site_fract_x
_atom_site_fract_y
_atom_site_fract_z
_atom_site_occupancy
Pr1 Pr 0.000 0.000 0.000 1
Tm1 Tm 0.000 0.000 0.500 1
Pt1 Pt 0.250 0.250 0.250 1
# * E_form: -1.108 eV/atom
# * offset from the most stable computed form: 88 meV per atom
# * DOS(E_F): 3.333 states/eV/f.u.
# * VASP energy: -6.44 eV per atom


Record 9
# PBE-GGA PrTmPt3, optimized geometry
data_PrTmPt3
_cell_length_a 3.866
_cell_length_b 26.958
_cell_length_c 4.276
_cell_angle_alpha 90.00
_cell_angle_beta 90.00
_cell_angle_gamma 90.00
_space_group_name_H-M_alt 'C m c m'
_space_group_IT_number 63
_space_group_name_Hall '-C 2c 2'
loop_
_atom_site_label
_atom_site_type_symbol
_atom_site_fract_x
_atom_site_fract_y
_atom_site_fract_z
_atom_site_occupancy
Pr1 Pr 0.000 0.075 0.250 1
Tm1 Tm 0.000 0.207 0.750 1
Pt1 Pt 0.000 0.312 0.750 1
Pt2 Pt 0.000 0.374 0.250 1
Pt3 Pt 0.000 0.471 0.250 1
# * E_form: -1.117 eV/atom
# * DOS(E_F): 3.294 states/eV/f.u.
# * VASP energy: -6.59 eV per atom


Record 10
# PBE-GGA Pr2TmPt, optimized geometry
data_Pr2TmPt
_cell_length_a 5.089
_cell_length_b 5.102
_cell_length_c 8.862
_cell_angle_alpha 90.00
_cell_angle_beta 90.00
_cell_angle_gamma 90.00
_space_group_name_H-M_alt 'C m m 2'
_space_group_IT_number 35
loop_
_space_group_symop_operation_xyz
'x,y,z'
'-x,-y,z'
'-x,y,z'
'x,-y,z'
'x+1/2,y+1/2,z'
'-x+1/2,-y+1/2,z'
'-x+1/2,y+1/2,z'
'x+1/2,-y+1/2,z'
loop_
_atom_site_label
_atom_site_type_symbol
_atom_site_fract_x
_atom_site_fract_y
_atom_site_fract_z
_atom_site_occupancy
Pr1 Pr 0.000 0.000 0.000 1
Pr2 Pr 0.000 0.500 0.315 1
Tm1 Tm 0.000 0.000 0.622 1
Pt1 Pt 0.000 0.500 0.780 1
# * E_form: -0.568 eV/atom
# * offset from the most stable computed form: 0 meV per atom
# * DOS(E_F): 4.306 states/eV/f.u.
# * VASP energy: -5.59 eV per atom


Record 11
# PBE-GGA PrTmPt2, optimized geometry
data_PrTmPt2
_cell_length_a 4.1438
_cell_length_b 4.1438
_cell_length_c 19.9867
_cell_angle_alpha 90.00
_cell_angle_beta 90.00
_cell_angle_gamma 120.00
_space_group_name_H-M_alt 'R -3 m'
_space_group_IT_number 166
_space_group_name_Hall '-R 3 2"'
loop_
_atom_site_label
_atom_site_type_symbol
_atom_site_fract_x
_atom_site_fract_y
_atom_site_fract_z
_atom_site_occupancy
Pr1 Pr 0.0000 0.0000 0.0000 1
Tm1 Tm 0.0000 0.0000 0.5000 1
Pt1 Pt 0.0000 0.0000 0.2431 1
# * E_form: -1.098 eV/atom
# * offset from the most stable computed form: 98 meV per atom
# * DOS(E_F): 2.195 states/eV/f.u.
# * VASP energy: -6.43 eV per atom


Record 12
# PBE-GGA PrTm2Pt9, optimized geometry
data_PrTm2Pt9
_cell_length_a 5.4288
_cell_length_b 5.4288
_cell_length_c 26.4268
_cell_angle_alpha 90.00
_cell_angle_beta 90.00
_cell_angle_gamma 120.00
_space_group_name_H-M_alt 'R -3 m'
_space_group_IT_number 166
_space_group_name_Hall '-R 3 2"'
loop_
_atom_site_label
_atom_site_type_symbol
_atom_site_fract_x
_atom_site_fract_y
_atom_site_fract_z
_atom_site_occupancy
Pr1 Pr 0.0000 0.0000 0.0000 1
Tm1 Tm 0.0000 0.0000 0.1403 1
Pt1 Pt 0.0000 0.0000 0.3331 1
Pt2 Pt 0.0000 0.0000 0.5000 1
Pt3 Pt 0.0053 0.5026 0.9137 1
# * E_form: -0.958 eV/atom
# * DOS(E_F): 9.262 states/eV/f.u.
# * VASP energy: -6.63 eV per atom